(1)
PaRuRhAu: relaxed, PBE.

Values from the calculation:
Formation enthalpy at 0 K: -0.421 eV per atom
Excess energy over the best structure of this formula in the dataset: 0.211 eV per atom

```
4
Lattice="-2.109 0.518 -4.128 1.844 -1.939 -3.821 -2.106 -3.641 -2.016" Properties=species:S:1:pos:R:3 pbc="T T T"
Ru 0.000 0.000 0.000
Rh -1.185 -2.531 -4.983
Au -1.778 -3.797 -7.474
Pa -0.593 -1.266 -2.491
```



(2)
InTe2W: relaxed, PBE.

```
4
Lattice="-0.193 1.706 12.202 2.412 0.014 12.083 2.536 3.091 11.655" Properties=species:S:1:pos:R:3 pbc="T T T"
Te 0.358 0.362 2.706
In 2.378 2.406 17.970
Te 4.397 4.449 33.234
W 0.000 0.000 0.000
```



(3)
Zr2UCu: relaxed, PBE.

Values from the calculation:
Formation enthalpy at 0 K: 0.397 eV per atom
Excess energy over the best structure of this formula in the dataset: 0.318 eV per atom

```
4
Lattice="3.001 0.000 0.000 1.501 2.599 0.000 1.501 0.866 10.660" Properties=species:S:1:pos:R:3 pbc="T T T"
Zr 1.501 0.866 7.587
U 0.000 0.000 0.000
Zr 4.502 2.599 3.073
Cu 3.001 1.733 5.330
```



(4)
MnTcRu2: relaxed, PBE.

Values from the calculation:
Formation enthalpy at 0 K: 0.064 eV per atom
Excess energy over the best structure of this formula in the dataset: 0.000 eV per atom

```
4
Lattice="4.615 -0.041 0.000 1.501 4.364 0.000 -3.058 -2.162 2.698" Properties=species:S:1:pos:R:3 pbc="T T T"
Mn 2.307 -0.021 1.349
Tc 0.750 2.182 1.349
Ru 3.058 2.162 0.000
Ru 0.000 0.000 0.000
```



(5)
YMgSn2: relaxed, PBE.

Values from the calculation:
Formation enthalpy at 0 K: -0.344 eV per atom

```
4
Lattice="-1.099 3.746 -2.911 -4.625 1.457 -0.452 -1.277 4.945 2.772" Properties=species:S:1:pos:R:3 pbc="T T T"
Y -3.500 5.074 -0.295
Mg 0.000 0.000 0.000
Sn -1.769 2.443 -0.262
Sn -5.232 7.705 -0.329
```



(6)
K2TlAg: relaxed, PBE.

Values from the calculation:
Formation enthalpy at 0 K: 0.068 eV per atom
Excess energy over the best structure of this formula in the dataset: 0.098 eV per atom

```
4
Lattice="5.470 0.000 0.000 0.000 5.466 0.000 0.000 0.000 4.860" Properties=species:S:1:pos:R:3 pbc="T T T"
K 2.735 2.733 0.000
Tl 2.735 0.000 2.430
Ag 0.000 2.733 2.430
K 0.000 0.000 0.000
```



(7)
KPIrAuO: relaxed, PBE.

Values from the calculation:
Excess energy over the best structure of this formula in the dataset: 0.323 eV per atom

```
10
Lattice="4.682 0.000 0.000 0.000 3.457 0.000 -2.449 0.000 13.206" Properties=species:S:1:pos:R:3 pbc="T T T"
K 2.012 0.000 4.105
K 0.787 1.729 10.708
O -1.432 0.000 11.156
Ir -1.452 0.000 13.008
P 1.803 1.729 0.973
Au 2.846 0.000 8.079
O -0.207 1.729 4.552
Ir -0.227 1.729 6.405
Au 4.071 1.729 1.476
P 0.578 0.000 7.576
```



(8)
RbBa2Au6: relaxed, PBE.

Values from the calculation:
Formation enthalpy at 0 K: -0.562 eV per atom

```
9
Lattice="-3.759 -1.839 -1.073 1.366 -6.105 5.679 -4.090 7.038 2.265" Properties=species:S:1:pos:R:3 pbc="T T T"
Rb -4.090 7.038 2.265
Ba -2.271 2.657 3.403
Ba -0.453 -1.724 4.541
Au -5.060 2.052 5.511
Au -3.694 -0.298 4.755
Au -4.604 3.768 0.972
Au -1.423 -2.959 1.360
Au -2.789 -0.608 2.116
Au -3.246 1.431 0.220
```



no.,total moment (μB per atom),E_tot (eV/atom)
1,0.00,-7.7710
2,0.00,-4.7617
3,0.51,-7.7229
4,0.34,-9.4579
5,0.00,-4.3596
6,0.00,-1.7854
7,0.00,-5.1891
8,0.00,-3.2818